No. 1
Computed, not measured: a geometry-optimized Sm2DyHo4Sc structure at the GGA-PBE level of DFT.

Unit cell a=4.9838 b=4.9847 c=11.1107 alpha=63.35 beta=90.00 gamma=90.00
Closest atoms and distances in Å follow each position.
Positions (direct):
Sm (0.0000, 0.0000, 0.0000)  4 Dy 3.52, 8 Ho 3.55
Sm (0.5000, 0.0000, 0.5000)  8 Ho 3.48-3.49, 4 Sc 3.52
Dy (0.5000, 0.5000, 0.0000)  4 Sm 3.52, 8 Ho 3.55
Ho (0.0000, 0.7552, 0.7452)  2 Sc 3.48-3.49, 4 Sm 3.48-3.55, 4 Ho 3.52, 2 Dy 3.55
Ho (0.0000, 0.2448, 0.2548)  2 Sc 3.48-3.49, 4 Sm 3.48-3.55, 4 Ho 3.52, 2 Dy 3.55
Ho (0.5000, 0.7450, 0.2546)  4 Sm 3.48-3.55, 2 Sc 3.49, 4 Ho 3.52, 2 Dy 3.55
Ho (0.5000, 0.2550, 0.7454)  4 Sm 3.48-3.55, 2 Sc 3.49, 4 Ho 3.52, 2 Dy 3.55
Sc (0.0000, 0.5000, 0.5000)  8 Ho 3.48-3.49, 4 Sm 3.52

## Properties
**Volume**: 30.84 Å³ per atom
**E_form**: 0.032 eV/atom

No. 2
Computed, not measured: a geometry-optimized Tm7In2Te2 structure at the GGA-PBE level of DFT.

Unit cell a=6.7669 b=7.4676 c=6.7669 alpha=90.00 beta=106.21 gamma=90.00
Closest atoms and distances in Å follow each position.
Positions (direct):
Tm (0.9998, 0.2826, 0.5003)  2 Te 2.95, 2 In 3.21, 1 Tm 3.25
Tm (0.5003, 0.7174, 0.9998)  2 Te 2.95, 2 In 3.21, 1 Tm 3.25
Tm (0.0002, 0.7174, 0.4997)  2 Te 2.95, 2 In 3.21, 1 Tm 3.25
Tm (0.4997, 0.2826, 0.0002)  2 Te 2.95, 2 In 3.21, 1 Tm 3.25
Tm (0.0000, 0.0000, 0.0000)  2 Te 3.05
Tm (0.5002, 0.7326, 0.4998)  2 Te 3.09-3.10, 2 In 3.15, 4 Tm 3.39
Tm (0.4998, 0.2674, 0.5002)  2 Te 3.09-3.10, 2 In 3.15, 4 Tm 3.39
In (0.8232, 0.5000, 0.8232)  1 In 2.87, 6 Tm 3.15-3.21
In (0.1768, 0.5000, 0.1768)  1 In 2.87, 6 Tm 3.15-3.21
Te (0.7183, 0.0000, 0.2817)  7 Tm 2.95-3.10
Te (0.2817, 0.0000, 0.7183)  7 Tm 2.95-3.10

## Properties
**Formation energy from raw total energies**: -0.302 eV per atom
**Volume**: 29.85 Å³ per atom